Record 1
Below is crystalline NdGdAlHg at its relaxed geometry, with properties calculated at the PBE-GGA level.

Calculated values
- Raw total energy: -24.51 eV per formula unit
- Symmetry: No. 216
- Total moment: 1.993 μB/atom

a = 7.513 Å, b = 7.513 Å, c = 7.513 Å
α = 90.00°, β = 90.00°, γ = 90.00°
Atoms (fractional coordinates):
Nd 0.000 0.000 0.000
Nd 0.000 0.500 0.500
Nd 0.500 0.000 0.500
Nd 0.500 0.500 0.000
Gd 0.000 0.000 0.500
Gd 0.000 0.500 0.000
Gd 0.500 0.000 0.000
Gd 0.500 0.500 0.500
Al 0.250 0.250 0.250
Al 0.250 0.750 0.750
Al 0.750 0.250 0.750
Al 0.750 0.750 0.250
Hg 0.250 0.250 0.750
Hg 0.250 0.750 0.250
Hg 0.750 0.250 0.250
Hg 0.750 0.750 0.750



Record 2
Below is crystalline GdAlHgPd at its relaxed geometry, with properties calculated at the PBE-GGA level.

Calculated values
- Raw total energy: -25.46 eV per formula unit
- Symmetry: No. 216
- Total moment: 1.767 μB/atom

a = 6.888 Å, b = 6.888 Å, c = 6.888 Å
α = 90.00°, β = 90.00°, γ = 90.00°
Atoms (fractional coordinates):
Gd 0.000 0.000 0.000
Gd 0.000 0.500 0.500
Gd 0.500 0.000 0.500
Gd 0.500 0.500 0.000
Al 0.000 0.000 0.500
Al 0.000 0.500 0.000
Al 0.500 0.000 0.000
Al 0.500 0.500 0.500
Hg 0.250 0.250 0.250
Hg 0.250 0.750 0.750
Hg 0.750 0.250 0.750
Hg 0.750 0.750 0.250
Pd 0.250 0.250 0.750
Pd 0.250 0.750 0.250
Pd 0.750 0.250 0.250
Pd 0.750 0.750 0.750



Record 3
Below is crystalline PmGdAlHg at its relaxed geometry, with properties calculated at the PBE-GGA level.

Calculated values
- Raw total energy: -24.52 eV per formula unit
- Symmetry: No. 216
- Total moment: 1.986 μB/atom

a = 7.484 Å, b = 7.484 Å, c = 7.484 Å
α = 90.00°, β = 90.00°, γ = 90.00°
Atoms (fractional coordinates):
Pm 0.000 0.000 0.000
Pm 0.000 0.500 0.500
Pm 0.500 0.000 0.500
Pm 0.500 0.500 0.000
Gd 0.000 0.000 0.500
Gd 0.000 0.500 0.000
Gd 0.500 0.000 0.000
Gd 0.500 0.500 0.500
Al 0.250 0.250 0.750
Al 0.250 0.750 0.250
Al 0.750 0.250 0.250
Al 0.750 0.750 0.750
Hg 0.250 0.250 0.250
Hg 0.250 0.750 0.750
Hg 0.750 0.250 0.750
Hg 0.750 0.750 0.250



Record 4
Below is crystalline GdPuAlHg at its relaxed geometry, with properties calculated at the PBE-GGA level.

Calculated values
- Raw total energy: -33.36 eV per formula unit
- Symmetry: No. 216
- Total moment: 3.355 μB/atom

a = 7.416 Å, b = 7.416 Å, c = 7.416 Å
α = 90.00°, β = 90.00°, γ = 90.00°
Atoms (fractional coordinates):
Gd 0.000 0.000 0.000
Gd 0.000 0.500 0.500
Gd 0.500 0.000 0.500
Gd 0.500 0.500 0.000
Pu 0.000 0.000 0.500
Pu 0.000 0.500 0.000
Pu 0.500 0.000 0.000
Pu 0.500 0.500 0.500
Al 0.250 0.250 0.250
Al 0.250 0.750 0.750
Al 0.750 0.250 0.750
Al 0.750 0.750 0.250
Hg 0.250 0.250 0.750
Hg 0.250 0.750 0.250
Hg 0.750 0.250 0.250
Hg 0.750 0.750 0.750



Record 5
Below is crystalline GdScAlHg at its relaxed geometry, with properties calculated at the PBE-GGA level.

Calculated values
- Raw total energy: -26.01 eV per formula unit
- Symmetry: No. 216
- Total moment: 1.902 μB/atom

a = 7.195 Å, b = 7.195 Å, c = 7.195 Å
α = 90.00°, β = 90.00°, γ = 90.00°
Atoms (fractional coordinates):
Gd 0.000 0.000 0.000
Gd 0.000 0.500 0.500
Gd 0.500 0.000 0.500
Gd 0.500 0.500 0.000
Sc 0.000 0.000 0.500
Sc 0.000 0.500 0.000
Sc 0.500 0.000 0.000
Sc 0.500 0.500 0.500
Al 0.250 0.250 0.750
Al 0.250 0.750 0.250
Al 0.750 0.250 0.250
Al 0.750 0.750 0.750
Hg 0.250 0.250 0.250
Hg 0.250 0.750 0.750
Hg 0.750 0.250 0.750
Hg 0.750 0.750 0.250



Record 6
Below is crystalline SrGdAlHg at its relaxed geometry, with properties calculated at the PBE-GGA level.

Calculated values
- Raw total energy: -21.07 eV per formula unit
- Symmetry: No. 216
- Total moment: 1.783 μB/atom

a = 7.683 Å, b = 7.683 Å, c = 7.683 Å
α = 90.00°, β = 90.00°, γ = 90.00°
Atoms (fractional coordinates):
Sr 0.000 0.000 0.000
Sr 0.000 0.500 0.500
Sr 0.500 0.000 0.500
Sr 0.500 0.500 0.000
Gd 0.000 0.000 0.500
Gd 0.000 0.500 0.000
Gd 0.500 0.000 0.000
Gd 0.500 0.500 0.500
Al 0.250 0.250 0.750
Al 0.250 0.750 0.250
Al 0.750 0.250 0.250
Al 0.750 0.750 0.750
Hg 0.250 0.250 0.250
Hg 0.250 0.750 0.750
Hg 0.750 0.250 0.750
Hg 0.750 0.750 0.250



Record 7
Below is crystalline TbGdAlHg at its relaxed geometry, with properties calculated at the PBE-GGA level.

Calculated values
- Raw total energy: -24.40 eV per formula unit
- Symmetry: No. 216
- Total moment: 1.936 μB/atom

a = 7.414 Å, b = 7.414 Å, c = 7.414 Å
α = 90.00°, β = 90.00°, γ = 90.00°
Atoms (fractional coordinates):
Tb 0.000 0.000 0.000
Tb 0.000 0.500 0.500
Tb 0.500 0.000 0.500
Tb 0.500 0.500 0.000
Gd 0.000 0.000 0.500
Gd 0.000 0.500 0.000
Gd 0.500 0.000 0.000
Gd 0.500 0.500 0.500
Al 0.250 0.250 0.750
Al 0.250 0.750 0.250
Al 0.750 0.250 0.250
Al 0.750 0.750 0.750
Hg 0.250 0.250 0.250
Hg 0.250 0.750 0.750
Hg 0.750 0.250 0.750
Hg 0.750 0.750 0.250



Record 8
Below is crystalline GdAlTlHg at its relaxed geometry, with properties calculated at the PBE-GGA level.

Calculated values
- Raw total energy: -21.13 eV per formula unit
- Symmetry: No. 216
- Total moment: 1.697 μB/atom

a = 7.296 Å, b = 7.296 Å, c = 7.296 Å
α = 90.00°, β = 90.00°, γ = 90.00°
Atoms (fractional coordinates):
Gd 0.000 0.000 0.000
Gd 0.000 0.500 0.500
Gd 0.500 0.000 0.500
Gd 0.500 0.500 0.000
Al 0.000 0.000 0.500
Al 0.000 0.500 0.000
Al 0.500 0.000 0.000
Al 0.500 0.500 0.500
Tl 0.250 0.250 0.750
Tl 0.250 0.750 0.250
Tl 0.750 0.250 0.250
Tl 0.750 0.750 0.750
Hg 0.250 0.250 0.250
Hg 0.250 0.750 0.750
Hg 0.750 0.250 0.750
Hg 0.750 0.750 0.250



Record 9
Below is crystalline GdZrAlHg at its relaxed geometry, with properties calculated at the PBE-GGA level.

Calculated values
- Raw total energy: -27.67 eV per formula unit
- Symmetry: No. 216
- Total moment: 1.764 μB/atom

a = 7.163 Å, b = 7.163 Å, c = 7.163 Å
α = 90.00°, β = 90.00°, γ = 90.00°
Atoms (fractional coordinates):
Gd 0.000 0.000 0.000
Gd 0.000 0.500 0.500
Gd 0.500 0.000 0.500
Gd 0.500 0.500 0.000
Zr 0.000 0.000 0.500
Zr 0.000 0.500 0.000
Zr 0.500 0.000 0.000
Zr 0.500 0.500 0.500
Al 0.250 0.250 0.750
Al 0.250 0.750 0.250
Al 0.750 0.250 0.250
Al 0.750 0.750 0.750
Hg 0.250 0.250 0.250
Hg 0.250 0.750 0.750
Hg 0.750 0.250 0.750
Hg 0.750 0.750 0.250



Record 10
Below is crystalline GdHoAl at its relaxed geometry, with properties calculated at the PBE-GGA level.

Calculated values
- Raw total energy: -23.14 eV per formula unit
- Symmetry: No. 107
- Total moment: 2.388 μB/atom
- Excess energy over the best structure of this formula in the dataset: 0 meV per atom

a = 3.453 Å, b = 3.453 Å, c = 13.458 Å
α = 90.00°, β = 90.00°, γ = 90.00°
Atoms (fractional coordinates):
Gd 0.000 0.000 0.000
Gd 0.500 0.500 0.500
Ho 0.000 0.000 0.704
Ho 0.500 0.500 0.204
Al 0.000 0.000 0.350
Al 0.500 0.500 0.850



Record 11
Below is crystalline GdHoAl2 at its relaxed geometry, with properties calculated at the PBE-GGA level.

Calculated values
- Raw total energy: -26.77 eV per formula unit
- Symmetry: No. 166
- Total moment: 1.764 μB/atom
- Excess energy over the best structure of this formula in the dataset: 243 meV per atom

a = 3.572 Å, b = 3.572 Å, c = 27.843 Å
α = 90.00°, β = 90.00°, γ = 120.00°
Atoms (fractional coordinates):
Gd 0.000 0.000 0.000
Gd 0.333 0.667 0.667
Gd 0.667 0.333 0.333
Ho 0.000 0.000 0.500
Ho 0.333 0.667 0.167
Ho 0.667 0.333 0.833
Al 0.000 0.000 0.249
Al 0.000 0.000 0.751
Al 0.333 0.667 0.418
Al 0.333 0.667 0.916
Al 0.667 0.333 0.084
Al 0.667 0.333 0.582



Record 12
Below is crystalline GdHoAl2 at its relaxed geometry, with properties calculated at the PBE-GGA level.

Calculated values
- Raw total energy: -27.74 eV per formula unit
- Symmetry: No. 123
- Total moment: 1.764 μB/atom
- Excess energy over the best structure of this formula in the dataset: 0 meV per atom

a = 3.599 Å, b = 3.599 Å, c = 7.245 Å
α = 90.00°, β = 90.00°, γ = 90.00°
Atoms (fractional coordinates):
Gd 0.000 0.000 0.000
Ho 0.000 0.000 0.500
Al 0.500 0.500 0.257
Al 0.500 0.500 0.743



Record 13
Below is crystalline GdHoAl2 at its relaxed geometry, with properties calculated at the PBE-GGA level.

Calculated values
- Raw total energy: -27.73 eV per formula unit
- Symmetry: No. 225
- Total moment: 1.778 μB/atom
- Excess energy over the best structure of this formula in the dataset: 4 meV per atom

a = 7.218 Å, b = 7.218 Å, c = 7.218 Å
α = 90.00°, β = 90.00°, γ = 90.00°
Atoms (fractional coordinates):
Gd 0.000 0.000 0.000
Gd 0.000 0.500 0.500
Gd 0.500 0.000 0.500
Gd 0.500 0.500 0.000
Ho 0.000 0.000 0.500
Ho 0.000 0.500 0.000
Ho 0.500 0.000 0.000
Ho 0.500 0.500 0.500
Al 0.250 0.250 0.250
Al 0.250 0.250 0.750
Al 0.250 0.750 0.250
Al 0.250 0.750 0.750
Al 0.750 0.250 0.250
Al 0.750 0.250 0.750
Al 0.750 0.750 0.250
Al 0.750 0.750 0.750



Record 14
Below is crystalline Gd2HoAl at its relaxed geometry, with properties calculated at the PBE-GGA level.

Calculated values
- Raw total energy: -37.16 eV per formula unit
- Symmetry: No. 123
- Total moment: 3.612 μB/atom
- Excess energy over the best structure of this formula in the dataset: 28 meV per atom

a = 3.509 Å, b = 3.509 Å, c = 9.136 Å
α = 90.00°, β = 90.00°, γ = 90.00°
Atoms (fractional coordinates):
Gd 0.000 0.000 0.216
Gd 0.000 0.000 0.784
Ho 0.500 0.500 0.500
Al 0.500 0.500 0.000



Record 15
Below is crystalline GdHoAl at its relaxed geometry, with properties calculated at the PBE-GGA level.

Calculated values
- Raw total energy: -22.85 eV per formula unit
- Symmetry: No. 156
- Total moment: 2.408 μB/atom
- Excess energy over the best structure of this formula in the dataset: 96 meV per atom

a = 5.072 Å, b = 5.072 Å, c = 3.547 Å
α = 90.00°, β = 90.00°, γ = 120.00°
Atoms (fractional coordinates):
Gd 0.000 0.000 0.000
Ho 0.333 0.667 0.435
Al 0.667 0.333 0.694



Record 16
Below is crystalline Gd2HoAl at its relaxed geometry, with properties calculated at the PBE-GGA level.

Calculated values
- Raw total energy: -37.27 eV per formula unit
- Symmetry: No. 123
- Total moment: 3.819 μB/atom
- Excess energy over the best structure of this formula in the dataset: 0 meV per atom

a = 4.755 Å, b = 4.755 Å, c = 4.812 Å
α = 90.00°, β = 90.00°, γ = 90.00°
Atoms (fractional coordinates):
Gd 0.000 0.500 0.000
Gd 0.500 0.000 0.000
Ho 0.000 0.000 0.500
Al 0.500 0.500 0.500